(1)
PBE Ca2NiPt, optimized geometry; final energy = -4.3196 eV per atom; ΔH_f (0 K) = -0.363 eV/atom
1.0
5.519 -1.634 0.000
5.519 1.634 0.000
-1.400 0.000 4.689
Ca Ni Pt
2 1 1
direct
0.000 0.000 0.000
0.202 0.202 0.645
0.437 0.437 0.451
0.759 0.759 0.185

***

(2)
PBE Rb2CaBi2, optimized geometry; final energy = -2.5108 eV per atom; ΔE to the lowest computed polymorph = 249 meV/atom; ΔH_f (0 K) = -0.171 eV/atom
1.0
-2.483 2.483 8.387
2.483 -2.483 8.387
2.483 2.483 -8.387
Rb Ca Bi
2 1 2
direct
0.250 0.750 0.500
0.750 0.250 0.500
0.000 0.000 0.000
0.411 0.411 0.000
0.589 0.589 0.000